# 1
Crystalline KHoTe at its relaxed geometry. Source: the Alexandria database, functional PBE-GGA.

abc: 4.6579 4.6579 9.5457
angles: 90.00 90.00 90.00
With the nearest neighbours (Å) after each atom.
Sites, in units of the cell vectors:
K1 0.5000 0.0000 0.1393  5 Te 3.49-3.81
Ho1 0.0000 0.0000 0.5000  4 Te 3.27, 4 Ho 3.29
Te1 0.0000 0.5000 0.2596  4 Ho 3.27, 4 K 3.49
K2 0.0000 0.5000 0.8607  5 Te 3.49-3.81
Te2 0.5000 0.0000 0.7404  4 Ho 3.27, 4 K 3.49
Ho2 0.5000 0.5000 0.5000  4 Te 3.27, 4 Ho 3.29

Output
Symmetry: P4/nmm (129)
Energy relative to the elements, uncorrected (eV/atom): -0.74
M_tot (μB per cell): 0.82

# 2
Crystalline K2HoThTe4 at its relaxed geometry. Source: the Alexandria database, functional PBE-GGA.

abc: 4.4639 7.7800 8.7337
angles: 106.99 90.00 90.00
With the nearest neighbours (Å) after each atom.
Sites, in units of the cell vectors:
Th1 0.0000 0.0000 0.0000  6 Te 3.16-3.18
Te1 0.0000 0.7318 0.2114  2 Ho 3.11, 1 Th 3.16
Te2 0.5000 0.7546 0.7829  1 Ho 3.12, 2 Th 3.18, 2 K 3.49
K1 0.0000 0.5000 0.5000  6 Te 3.49-3.50
Ho1 0.5000 0.5000 0.0000  6 Te 3.11-3.12
K2 0.5000 0.0000 0.5000  6 Te 3.54-3.55
Te3 0.5000 0.2454 0.2171  1 Ho 3.12, 2 Th 3.18, 2 K 3.49
Te4 0.0000 0.2682 0.7886  2 Ho 3.11, 1 Th 3.16

Output
Symmetry: P2/m (10)
Energy relative to the elements, uncorrected (eV/atom): -1.27
M_tot (μB per cell): 0.00

# 3
Crystalline K4Ho3ThTe8 at its relaxed geometry. Source: the Alexandria database, functional PBE-GGA.

abc: 8.9585 9.7711 8.9596
angles: 117.28 120.00 90.00
With the nearest neighbours (Å) after each atom.
Sites, in units of the cell vectors:
K1 0.0000 0.0000 0.0000  6 Te 3.53-3.55
Te1 0.2675 0.2880 0.0277  2 Ho 3.11, 1 Th 3.16
Te2 0.7325 0.7120 0.9723  2 Ho 3.11, 1 Th 3.16
Te3 0.2641 0.2925 0.5283  3 Ho 3.11
K2 0.5000 0.0000 0.5000  6 Te 3.53-3.54
Ho1 0.5000 0.5000 0.0000  6 Te 3.11
Ho2 0.0000 0.5000 0.5000  6 Te 3.11
Te4 0.2398 0.7120 0.9723  2 Ho 3.11, 1 Th 3.16
Te5 0.7359 0.7075 0.4717  3 Ho 3.11
K3 0.5000 0.0000 0.0000  6 Te 3.49
Th1 0.0000 0.5000 0.0000  6 Te 3.16
K4 0.0000 0.0000 0.5000  6 Te 3.53-3.54
Te6 0.7602 0.2880 0.5205  2 Ho 3.11, 1 Th 3.16
Ho3 0.5000 0.5000 0.5000  6 Te 3.11
Te7 0.2398 0.7120 0.4795  2 Ho 3.11, 1 Th 3.16
Te8 0.7602 0.2880 0.0277  2 Ho 3.11, 1 Th 3.16

Output
Symmetry: R-3m (166)
Energy relative to the elements, uncorrected (eV/atom): -1.33
M_tot (μB per cell): 0.00

# 4
Crystalline K3Ho2TiTe6 at its relaxed geometry. Source: the Alexandria database, functional PBE-GGA.

abc: 7.5930 7.5930 8.5985
angles: 98.49 98.49 120.03
With the nearest neighbours (Å) after each atom.
Sites, in units of the cell vectors:
Te1 0.0669 0.3827 0.2012  1 Ti 2.91, 2 Ho 3.08-3.09
K1 0.1723 0.8277 0.5000  6 Te 3.48-3.58
Te2 0.3827 0.0669 0.2012  1 Ti 2.91, 2 Ho 3.08-3.09
Ho1 0.6659 0.3341 0.0000  6 Te 3.08-3.09
Te3 0.6173 0.9331 0.7988  1 Ti 2.91, 2 Ho 3.08-3.09
Te4 0.2473 0.2473 0.7971  1 Ti 2.92, 2 Ho 3.08
K2 0.8277 0.1723 0.5000  6 Te 3.48-3.58
Te5 0.7527 0.7527 0.2029  1 Ti 2.92, 2 Ho 3.08
Ho2 0.3341 0.6659 0.0000  6 Te 3.08-3.09
Te6 0.9331 0.6173 0.7988  1 Ti 2.91, 2 Ho 3.08-3.09
Ti1 0.0000 0.0000 0.0000  6 Te 2.91-2.92
K3 0.5000 0.5000 0.5000  6 Te 3.48-3.62

Output
Symmetry: C2/m (12)
Energy relative to the elements, uncorrected (eV/atom): -1.18
M_tot (μB per cell): 1.00

# 5
Crystalline K4Ho3TiTe8 at its relaxed geometry. Source: the Alexandria database, functional PBE-GGA.

abc: 8.8147 9.6770 8.8160
angles: 117.13 119.99 90.00
With the nearest neighbours (Å) after each atom.
Sites, in units of the cell vectors:
K1 0.5000 0.0000 0.0000  6 Te 3.63
Te1 0.7499 0.7008 0.9755  1 Ti 2.93, 2 Ho 3.09
K2 0.5000 0.0000 0.5000  6 Te 3.49-3.50
K3 0.0000 0.0000 0.5000  6 Te 3.49-3.50
Te2 0.7744 0.2992 0.0245  1 Ti 2.93, 2 Ho 3.09
Te3 0.7368 0.7101 0.4736  3 Ho 3.08
Ti1 0.0000 0.5000 0.0000  6 Te 2.93
Ho1 0.5000 0.5000 0.0000  6 Te 3.08-3.09
K4 0.0000 0.0000 0.0000  6 Te 3.49-3.50
Ho2 0.0000 0.5000 0.5000  6 Te 3.08-3.09
Te4 0.2632 0.2899 0.5264  3 Ho 3.08
Ho3 0.5000 0.5000 0.5000  6 Te 3.08-3.09
Te5 0.2256 0.7008 0.9755  1 Ti 2.93, 2 Ho 3.09
Te6 0.2256 0.7009 0.4512  1 Ti 2.93, 2 Ho 3.09
Te7 0.7744 0.2991 0.5488  1 Ti 2.93, 2 Ho 3.09
Te8 0.2501 0.2992 0.0245  1 Ti 2.93, 2 Ho 3.09

Output
Symmetry: R-3m (166)
Energy relative to the elements, uncorrected (eV/atom): -1.23
M_tot (μB per cell): 1.00

# 6
Crystalline K3Ho3TiTe8 at its relaxed geometry. Source: the Alexandria database, functional PBE-GGA.

abc: 8.6804 8.6773 9.8348
angles: 116.18 90.00 120.02
With the nearest neighbours (Å) after each atom.
Sites, in units of the cell vectors:
Ho1 0.0000 0.5000 0.5000  6 Te 3.07-3.08
K1 0.0000 0.0000 0.0000  6 Te 3.51-3.54
Te1 0.7364 0.4729 0.7093  3 Ho 3.07
Te2 0.7539 0.9748 0.6957  1 Ti 2.87, 2 Ho 3.07-3.08
Te3 0.7791 0.0252 0.3044  1 Ti 2.87, 2 Ho 3.07-3.08
Ti1 0.0000 0.0000 0.5000  6 Te 2.87
K2 0.0000 0.5000 0.0000  6 Te 3.51-3.54
Te4 0.7791 0.5581 0.3043  1 Ti 2.87, 2 Ho 3.08
Ho2 0.5000 0.0000 0.5000  6 Te 3.07-3.08
Te5 0.2461 0.0252 0.3043  1 Ti 2.87, 2 Ho 3.07-3.08
K3 0.5000 0.5000 0.0000  6 Te 3.51-3.54
Te6 0.2636 0.5271 0.2907  3 Ho 3.07
Te7 0.2209 0.9748 0.6956  1 Ti 2.87, 2 Ho 3.07-3.08
Ho3 0.5000 0.5000 0.5000  6 Te 3.07-3.08
Te8 0.2209 0.4419 0.6957  1 Ti 2.87, 2 Ho 3.08

Output
Symmetry: R-3m (166)
Energy relative to the elements, uncorrected (eV/atom): -1.20
M_tot (μB per cell): 0.07

# 7
Crystalline K3HoU2Te6 at its relaxed geometry. Source: the Alexandria database, functional PBE-GGA.

abc: 7.7862 7.7862 8.6848
angles: 98.60 98.60 120.00
With the nearest neighbours (Å) after each atom.
Sites, in units of the cell vectors:
Te1 0.0703 0.4000 0.2108  1 Ho 3.11, 2 U 3.14
Te2 0.4000 0.0703 0.2108  1 Ho 3.11, 2 U 3.14
K1 0.8325 0.1675 0.5000  6 Te 3.52-3.55
Te3 0.2595 0.2595 0.7891  1 Ho 3.11, 2 U 3.14
K2 0.5000 0.5000 0.5000  6 Te 3.52-3.55
Te4 0.9297 0.6000 0.7892  1 Ho 3.11, 2 U 3.14
Te5 0.7405 0.7405 0.2109  1 Ho 3.11, 2 U 3.14
K3 0.1675 0.8325 0.5000  6 Te 3.52-3.55
Te6 0.6000 0.9297 0.7892  1 Ho 3.11, 2 U 3.14
Ho1 0.0000 0.0000 0.0000  6 Te 3.11
U1 0.3333 0.6667 0.0000  6 Te 3.14
U2 0.6667 0.3333 0.0000  6 Te 3.14

Output
Symmetry: C2/m (12)
Energy relative to the elements, uncorrected (eV/atom): -1.02
M_tot (μB per cell): 6.01

# 8
Crystalline K3Ho3UTe8 at its relaxed geometry. Source: the Alexandria database, functional PBE-GGA.

abc: 8.8735 8.8752 9.8194
angles: 116.89 89.99 120.01
With the nearest neighbours (Å) after each atom.
Sites, in units of the cell vectors:
Te1 0.7644 0.5288 0.2948  2 Ho 3.08, 1 U 3.09
U1 0.0000 0.0000 0.5000  6 Te 3.09
Te2 0.7359 0.4717 0.7075  3 Ho 3.10
Te3 0.2356 0.9697 0.7052  2 Ho 3.08, 1 U 3.09
K1 0.0000 0.5000 0.0000  6 Te 3.55-3.56
K2 0.0000 0.0000 0.0000  6 Te 3.54-3.56
Ho1 0.5000 0.5000 0.5000  6 Te 3.08-3.10
Ho2 0.0000 0.5000 0.5000  6 Te 3.08-3.10
Te4 0.2356 0.4712 0.7052  2 Ho 3.08, 1 U 3.09
Ho3 0.5000 0.0000 0.5000  6 Te 3.08-3.10
Te5 0.2641 0.5283 0.2925  3 Ho 3.10
Te6 0.2659 0.0303 0.2948  2 Ho 3.08, 1 U 3.09
K3 0.5000 0.5000 0.0000  6 Te 3.54-3.56
Te7 0.7341 0.9697 0.7052  2 Ho 3.08, 1 U 3.09
Te8 0.7644 0.0303 0.2948  2 Ho 3.08, 1 U 3.09

Output
Symmetry: R-3m (166)
Energy relative to the elements, uncorrected (eV/atom): -1.23
M_tot (μB per cell): 2.00

# 9
Crystalline K2Ho2UTe6 at its relaxed geometry. Source: the Alexandria database, functional PBE-GGA.

abc: 7.6523 7.6523 8.8189
angles: 98.37 98.37 119.96
With the nearest neighbours (Å) after each atom.
Sites, in units of the cell vectors:
Ho1 0.6677 0.3323 0.5000  6 Te 3.09
Te1 0.0712 0.4015 0.7063  1 U 3.08, 2 Ho 3.09
U1 0.0000 0.0000 0.5000  6 Te 3.08
Te2 0.2644 0.2644 0.2956  1 U 3.08, 2 Ho 3.09
Te3 0.7356 0.7356 0.7044  1 U 3.08, 2 Ho 3.09
Te4 0.9288 0.5985 0.2937  1 U 3.08, 2 Ho 3.09
K1 0.1671 0.8329 0.0000  6 Te 3.56-3.57
Ho2 0.3323 0.6677 0.5000  6 Te 3.09
K2 0.8329 0.1671 0.0000  6 Te 3.56-3.57
Te5 0.4015 0.0712 0.7063  1 U 3.08, 2 Ho 3.09
Te6 0.5985 0.9288 0.2937  1 U 3.08, 2 Ho 3.09

Output
Symmetry: C2/m (12)
Energy relative to the elements, uncorrected (eV/atom): -1.17
M_tot (μB per cell): 2.00

# 10
Crystalline K4HoU3Te8 at its relaxed geometry. Source: the Alexandria database, functional PBE-GGA.

abc: 8.9920 9.7881 8.9920
angles: 117.35 120.00 90.00
With the nearest neighbours (Å) after each atom.
Sites, in units of the cell vectors:
U1 0.5000 0.5000 0.0000  6 Te 3.14
Te1 0.2591 0.2892 0.0241  1 Ho 3.10, 2 U 3.14
Te2 0.2350 0.7108 0.9759  1 Ho 3.10, 2 U 3.14
K1 0.5000 0.0000 0.0000  6 Te 3.56
K2 0.0000 0.0000 0.5000  6 Te 3.52-3.53
Te3 0.7409 0.7108 0.9759  1 Ho 3.10, 2 U 3.14
U2 0.5000 0.5000 0.5000  6 Te 3.14
Te4 0.2350 0.7108 0.4700  1 Ho 3.10, 2 U 3.14
Te5 0.7375 0.7125 0.4750  3 U 3.14
Ho1 0.0000 0.5000 0.0000  6 Te 3.10
K3 0.0000 0.0000 0.0000  6 Te 3.52
K4 0.5000 0.0000 0.5000  6 Te 3.52-3.53
U3 0.0000 0.5000 0.5000  6 Te 3.14
Te6 0.7650 0.2892 0.0241  1 Ho 3.10, 2 U 3.14
Te7 0.2625 0.2875 0.5250  3 U 3.14
Te8 0.7650 0.2892 0.5300  1 Ho 3.10, 2 U 3.14

Output
Symmetry: R-3m (166)
Energy relative to the elements, uncorrected (eV/atom): -0.97
M_tot (μB per cell): 9.01

# 11
Crystalline K3HoU3Te8 at its relaxed geometry. Source: the Alexandria database, functional PBE-GGA.

abc: 8.8939 8.8940 9.8627
angles: 116.82 89.99 119.99
With the nearest neighbours (Å) after each atom.
Sites, in units of the cell vectors:
U1 0.5000 0.5000 0.5000  6 Te 3.11-3.12
U2 0.5000 0.0000 0.5000  6 Te 3.11-3.12
Te1 0.7361 0.9718 0.7074  1 Ho 3.10, 2 U 3.11
K1 0.0000 0.0000 0.0000  6 Te 3.53-3.56
Te2 0.7643 0.0281 0.2925  1 Ho 3.10, 2 U 3.11
Te3 0.2358 0.4715 0.7075  1 Ho 3.10, 2 U 3.11
Ho1 0.0000 0.0000 0.5000  6 Te 3.10
Te4 0.7371 0.4743 0.7114  3 U 3.12
K2 0.5000 0.5000 0.0000  6 Te 3.53-3.56
Te5 0.2629 0.5257 0.2886  3 U 3.12
Te6 0.2357 0.9719 0.7075  1 Ho 3.10, 2 U 3.11
U3 0.0000 0.5000 0.5000  6 Te 3.11-3.12
Te7 0.2639 0.0282 0.2926  1 Ho 3.10, 2 U 3.11
Te8 0.7642 0.5285 0.2925  1 Ho 3.10, 2 U 3.11
K3 0.0000 0.5000 0.0000  6 Te 3.54-3.56

Output
Symmetry: R-3m (166)
Energy relative to the elements, uncorrected (eV/atom): -0.95
M_tot (μB per cell): 8.00

# 12
Crystalline K4Ho3UTe8 at its relaxed geometry. Source: the Alexandria database, functional PBE-GGA.

abc: 8.9999 9.7524 9.0000
angles: 117.49 120.00 90.00
With the nearest neighbours (Å) after each atom.
Sites, in units of the cell vectors:
K1 0.0000 0.0000 0.0000  6 Te 3.55
Te1 0.7314 0.7098 0.9706  2 Ho 3.11, 1 U 3.16
Te2 0.2392 0.7098 0.9706  2 Ho 3.11, 1 U 3.16
K2 0.0000 0.0000 0.5000  6 Te 3.55
U1 0.0000 0.5000 0.0000  6 Te 3.16
Te3 0.7608 0.2902 0.5215  2 Ho 3.11, 1 U 3.16
K3 0.5000 0.0000 0.0000  6 Te 3.50
Te4 0.2392 0.7098 0.4785  2 Ho 3.11, 1 U 3.16
Te5 0.7608 0.2902 0.0294  2 Ho 3.11, 1 U 3.16
K4 0.5000 0.0000 0.5000  6 Te 3.55
Ho1 0.0000 0.5000 0.5000  6 Te 3.11
Te6 0.2686 0.2902 0.0294  2 Ho 3.11, 1 U 3.16
Ho2 0.5000 0.5000 0.0000  6 Te 3.11
Te7 0.2642 0.2927 0.5285  3 Ho 3.11
Te8 0.7358 0.7073 0.4715  3 Ho 3.11
Ho3 0.5000 0.5000 0.5000  6 Te 3.11

Output
Symmetry: R-3m (166)
Energy relative to the elements, uncorrected (eV/atom): -1.24
M_tot (μB per cell): 2.99